6
Lattice="-2.778 -4.703 1.758 0.983 -4.809 -1.904 2.212 -3.688 3.037" Properties=species:S:1:pos:R:3 comment="GeAsRh | the Alexandria database | GGA-PBE | optimized geometry" crystal_system=monoclinic e_above_lowest_polymorph_ev_per_atom=0.158 e_tot_ev_per_atom=-5.67 sg=C2/c pbc="T T T"
Ge 1.037 -6.489 -0.271
Rh -0.294 -9.327 4.079
Ge -0.073 -8.586 1.730
As 0.199 -11.732 3.128
Rh 1.095 -6.976 3.200
As -0.010 -5.132 1.681